1.
The following is a PBE calculation of SrLu2Mg after structural relaxation, from Alexandria via LeMat-Bulk.

The structure in POSCAR format:
```
SrLu2Mg
1.0
-0.4715 1.0070 -3.5756
-3.6914 0.2758 0.5644
1.0336 8.9528 2.3851
Sr Mg Lu
1 1 2
direct
0.5000 0.5000 0.5000
0.5000 0.5000 0.0000
0.0000 0.0000 0.8084
0.0000 0.0000 0.1916
```

Results
Its space group is P4/mmm, No. 123.



2.
The following is a PBE calculation of SrLuMg2 after structural relaxation, from Alexandria via LeMat-Bulk.

The structure in POSCAR format:
```
SrLuMg2
1.0
3.9283 0.0000 0.0000
0.0000 3.9283 0.0000
0.0000 0.0000 8.0161
Sr Mg Lu
1 2 1
direct
0.5000 0.5000 0.5000
0.0000 0.0000 0.7865
0.0000 0.0000 0.2135
0.5000 0.5000 0.0000
```

Results
Its space group is P4/mmm, No. 123.



3.
The following is a PBE calculation of SrLu2Mg after structural relaxation, from Alexandria via LeMat-Bulk.

The structure in POSCAR format:
```
SrLu2Mg
1.0
-0.5779 0.8610 -3.3753
-1.0736 -2.4628 -2.2914
-12.1840 2.0667 0.7665
Sr Mg Lu
1 1 2
direct
0.0000 0.0000 0.0000
0.5000 0.5000 0.5000
0.0962 0.0962 0.7115
0.9038 0.9038 0.2885
```

Results
Its space group is R-3m, No. 166.



4.
The following is a PBE calculation of SrLuMg after structural relaxation, from Alexandria via LeMat-Bulk.

The structure in POSCAR format:
```
SrLuMg
1.0
-0.5437 2.9659 -1.7450
-4.3209 1.2975 3.5516
5.3418 1.7056 1.2344
Sr Mg Lu
1 1 1
direct
0.6502 0.6667 0.3333
0.3240 0.3333 0.6667
0.0259 0.0000 0.0000
```

Results
Its space group is P3m1, No. 156.



5.
The following is a PBE calculation of SrLuMg after structural relaxation, from Alexandria via LeMat-Bulk.

The structure in POSCAR format:
```
SrLuMg
1.0
-1.1719 -0.9881 3.4978
1.3703 -3.5240 -0.5364
6.0420 4.2453 1.1388
Sr Mg Lu
1 1 1
direct
0.0106 0.0106 0.0213
0.6812 0.6812 0.3623
0.3082 0.3082 0.6164
```

Results
Its space group is I4mm, No. 107.



6.
The following is a PBE calculation of SrLuMg2 after structural relaxation, from Alexandria via LeMat-Bulk.

The structure in POSCAR format:
```
SrLuMg2
1.0
-5.4095 1.3301 -0.4242
-3.3390 -2.9280 -3.3896
-3.8866 -3.3880 2.1511
Sr Mg Lu
1 2 1
direct
0.5000 0.5000 0.5000
0.2500 0.2500 0.2500
0.7500 0.7500 0.7500
0.0000 0.0000 0.0000
```

Results
Its space group is Fm-3m, No. 225.



| no. | polymorph energy (0 for the lowest one) (eV/atom) | formation energy from the elements (eV per atom) | total magnetization (μB/atom) |
| --- | --- | --- | --- |
| 1 | 0.000 | 0.11 | 0.000 |
| 2 | 0.000 | -0.02 | 0.000 |
| 3 | 0.189 | 0.30 | 0.000 |
| 4 | 0.118 | 0.21 | 0.000 |
| 5 | 0.000 | 0.09 | 0.005 |
| 6 | 0.051 | 0.03 | 0.000 |